# K2YCu

An optimized crystal structure of K2YCu (GGA-PBE, Alexandria via LeMat-Bulk).

a b c (Å): 12.3217 12.3217 12.3217
angles (deg): 17.67 17.67 17.67
Site moments in Bohr magnetons follow the coordinates.
Element x y z (fractional)
Cu 0.7500 0.7500 0.7500  0.00
K 0.0177 0.0177 0.0177  0.00
K 0.4823 0.4823 0.4823  0.00
Y 0.2500 0.2500 0.2500  0.24

Summary:
DOS(E_F) ... 1.1260 states/eV/atom
Crystal system ... trigonal
ΔE to the lowest computed polymorph ... 1.57 eV per formula unit
M_tot ... 0.61 μB/cell
ΔH_f (0 K) ... 0.5755 eV per atom